[1]
Crystalline DyHo3Pd at its relaxed geometry, computed with PBE.

- magnetization (μB/cell) = 0.001
- uncorrected energy (eV/atom) = -4.971
- ΔH_f (0 K) (eV per atom) = -0.266
- offset from the most stable computed form (kJ per mole of atoms) = 0.00
- calculated volume (Å³ per cell) = 596.9
- crystal system = monoclinic

Lattice parameters (Å, degrees): 11.518 8.442 7.881 90.00 128.83 90.00
Space group C2/m (No. 12)
Symmetry-distinct sites (fractional):
1 Dy 0.073 0.000 0.275 [4 per cell]
2 Ho 0.040 0.500 0.314 [4 per cell]
3 Ho 0.209 0.199 0.742 [8 per cell]
4 Pd 0.232 0.000 0.084 [4 per cell]


[2]
Crystalline Dy4HoPd15 at its relaxed geometry, computed with PBE.

- magnetization (μB/cell) = 0.000
- uncorrected energy (eV/atom) = -5.928
- ΔH_f (0 K) (eV per atom) = -0.884
- calculated volume (Å³ per cell) = 349.9
- crystal system = tetragonal

Lattice parameters (Å, degrees): 4.111 4.111 20.704 90.00 90.00 90.00
Space group P4/mmm (No. 123)
Symmetry-distinct sites (fractional):
1 Dy 0.000 0.000 0.100 [2 per cell]
2 Dy 0.000 0.000 0.300 [2 per cell]
3 Ho 0.000 0.000 0.500 [1 per cell]
4 Pd 0.000 0.500 0.000 [2 per cell]
5 Pd 0.000 0.500 0.200 [4 per cell]
6 Pd 0.000 0.500 0.400 [4 per cell]
7 Pd 0.500 0.500 0.100 [2 per cell]
8 Pd 0.500 0.500 0.300 [2 per cell]
9 Pd 0.500 0.500 0.500 [1 per cell]


[3]
Crystalline DyHoPd at its relaxed geometry, computed with PBE.

- magnetization (μB/cell) = 0.000
- uncorrected energy (eV/atom) = -5.273
- ΔH_f (0 K) (eV per atom) = -0.482
- offset from the most stable computed form (kJ per mole of atoms) = 9.54
- calculated volume (Å³ per cell) = 327.6
- crystal system = cubic

Lattice parameters (Å, degrees): 6.893 6.893 6.893 90.00 90.00 90.00
Space group F-43m (No. 216)
Symmetry-distinct sites (fractional):
1 Dy 0.000 0.000 0.000 [4 per cell]
2 Ho 0.000 0.000 0.500 [4 per cell]
3 Pd 0.250 0.250 0.250 [4 per cell]


[4]
Crystalline Dy3Ho4Pd4 at its relaxed geometry, computed with PBE.

- magnetization (μB/cell) = 0.001
- uncorrected energy (eV/atom) = -5.406
- ΔH_f (0 K) (eV per atom) = -0.598
- calculated volume (Å³ per cell) = 551.4
- crystal system = orthorhombic

Lattice parameters (Å, degrees): 3.828 9.103 15.823 90.00 90.00 90.00
Space group Immm (No. 71)
Symmetry-distinct sites (fractional):
1 Dy 0.000 0.000 0.000 [2 per cell]
2 Dy 0.000 0.500 0.107 [4 per cell]
3 Ho 0.000 0.314 0.338 [8 per cell]
4 Pd 0.000 0.000 0.247 [4 per cell]
5 Pd 0.000 0.173 0.500 [4 per cell]


[5]
Crystalline Dy6HoPd3 at its relaxed geometry, computed with PBE.

- magnetization (μB/cell) = 0.000
- uncorrected energy (eV/atom) = -5.278
- ΔH_f (0 K) (eV per atom) = -0.501
- calculated volume (Å³ per cell) = 1081.6
- crystal system = orthorhombic

Lattice parameters (Å, degrees): 11.398 13.184 7.198 90.00 90.00 90.00
Space group Cmc2_1 (No. 36)
Symmetry-distinct sites (fractional):
1 Dy 0.000 0.036 0.000 [4 per cell]
2 Dy 0.000 0.230 0.638 [4 per cell]
3 Dy 0.169 0.461 0.489 [8 per cell]
4 Dy 0.227 0.194 0.335 [8 per cell]
5 Ho 0.000 0.320 0.118 [4 per cell]
6 Pd 0.000 0.424 0.784 [4 per cell]
7 Pd 0.188 0.101 0.703 [8 per cell]


[6]
Crystalline DyHo4Pd2 at its relaxed geometry, computed with PBE.

- magnetization (μB/cell) = 0.005
- uncorrected energy (eV/atom) = -5.116
- ΔH_f (0 K) (eV per atom) = -0.359
- offset from the most stable computed form (kJ per mole of atoms) = 8.22
- calculated volume (Å³ per cell) = 601.0
- crystal system = trigonal

Lattice parameters (Å, degrees): 3.9099 3.9099 45.3956 90.00 90.00 120.00
Space group R-3m (No. 166, hexagonal axes)
Symmetry-distinct sites (fractional):
1 Dy 0.0000 0.0000 0.0000 [3 per cell]
2 Ho 0.0000 0.0000 0.1979 [6 per cell]
3 Ho 0.0000 0.0000 0.3952 [6 per cell]
4 Pd 0.0000 0.0000 0.0986 [6 per cell]


Please write out number 1 again, unchanged.
Crystalline DyHo3Pd at its relaxed geometry, computed with PBE.

- magnetization (μB/cell) = 0.001
- uncorrected energy (eV/atom) = -4.971
- ΔH_f (0 K) (eV per atom) = -0.266
- offset from the most stable computed form (kJ per mole of atoms) = 0.00
- calculated volume (Å³ per cell) = 596.9
- crystal system = monoclinic

Lattice parameters (Å, degrees): 11.518 8.442 7.881 90.00 128.83 90.00
Space group C2/m (No. 12)
Symmetry-distinct sites (fractional):
1 Dy 0.073 0.000 0.275 [4 per cell]
2 Ho 0.040 0.500 0.314 [4 per cell]
3 Ho 0.209 0.199 0.742 [8 per cell]
4 Pd 0.232 0.000 0.084 [4 per cell]